Entry 1:
Computed, not measured: a geometry-optimized ZnAsIr2 structure at the PBE-GGA level of DFT.

It has space group I-4m2 (No. 119), with a = 3.720 Å, b = 3.720 Å, c = 8.629 Å, α = 90.00°, β = 90.00° and γ = 90.00°. The inequivalent atoms are Zn at (0.000, 0.000, 0.000), As at (0.000, 0.500, 0.750), Ir at (0.000, 0.000, 0.500) and Ir at (0.000, 0.500, 0.250).

The calculation puts the energy of formation from the pure elements at 0.7 eV per formula unit. The energy relative to the lowest polymorph listed for this composition comes out at 0.78 eV/f.u. Its magnetization is 0.00 μB/atom.



Entry 2:
Computed, not measured: a geometry-optimized Ho4Tl5Ir2 structure at the PBE-GGA level of DFT.

It has space group P2/m (No. 10), with a = 7.930 Å, b = 3.627 Å, c = 9.771 Å, α = 90.00°, β = 94.43° and γ = 90.00°. The inequivalent atoms are Ho at (0.189, 0.000, 0.339), Ho at (0.203, 0.000, 0.936), Tl at (0.153, 0.500, 0.636), Tl at (0.462, 0.500, 0.165), Tl at (0.500, 0.500, 0.500) and Ir at (0.079, 0.500, 0.137).

The calculation puts the energy of formation from the pure elements at -5.1 eV per formula unit. Its magnetization is 0.00 μB/atom.



Entry 3:
Computed, not measured: a geometry-optimized AcHo2Zn2Ge2 structure at the PBE-GGA level of DFT.

It has space group R-3m (No. 166, hexagonal axes), with a = 4.1980 Å, b = 4.1980 Å, c = 34.6938 Å, α = 90.00°, β = 90.00° and γ = 120.00°. The inequivalent atoms are Ac at (0.0000, 0.0000, 0.0000), Ho at (0.0000, 0.0000, 0.1262), Zn at (0.0000, 0.0000, 0.3985) and Ge at (0.0000, 0.0000, 0.2589).

The calculation puts the energy of formation from the pure elements at -3.0 eV per formula unit. Its magnetization is 0.00 μB/atom.



Entry 4:
Computed, not measured: a geometry-optimized Sr2Ac5Pt4 structure at the PBE-GGA level of DFT.

It has space group Fmmm (No. 69), with a = 8.928 Å, b = 11.763 Å, c = 16.089 Å, α = 90.00°, β = 90.00° and γ = 90.00°. The inequivalent atoms are Sr at (0.000, 0.000, 0.132), Ac at (0.000, 0.000, 0.500), Ac at (0.250, 0.250, 0.000), Ac at (0.250, 0.250, 0.250) and Pt at (0.000, 0.218, 0.376).

The calculation puts the energy of formation from the pure elements at -7.5 eV per formula unit. Its magnetization is 0.00 μB/atom.



Entry 5:
Computed, not measured: a geometry-optimized EuThZnPb structure at the PBE-GGA level of DFT.

It has space group F-43m (No. 216), with a = 7.684 Å, b = 7.684 Å, c = 7.684 Å, α = 90.00°, β = 90.00° and γ = 90.00°. The inequivalent atoms are Eu at (0.000, 0.000, 0.000), Th at (0.000, 0.000, 0.500), Zn at (0.250, 0.250, 0.250) and Pb at (0.250, 0.250, 0.750).

The calculation puts the energy of formation from the pure elements at -0.9 eV per formula unit. Its magnetization is 1.81 μB/atom.



Entry 6:
Computed, not measured: a geometry-optimized Cu12PdAu3 structure at the PBE-GGA level of DFT.

It has space group P4/mmm (No. 123), with a = 3.753 Å, b = 3.753 Å, c = 15.183 Å, α = 90.00°, β = 90.00° and γ = 90.00°. The inequivalent atoms are Cu at (0.000, 0.000, 0.000), Cu at (0.000, 0.000, 0.247), Cu at (0.000, 0.000, 0.500), Cu at (0.000, 0.500, 0.121), Cu at (0.000, 0.500, 0.373), Pd at (0.500, 0.500, 0.000), Au at (0.500, 0.500, 0.247) and Au at (0.500, 0.500, 0.500).

The calculation puts the energy of formation from the pure elements at -0.9 eV per formula unit. Its magnetization is 0.00 μB/atom.



Entry 7:
Computed, not measured: a geometry-optimized Sm4DyY2 structure at the PBE-GGA level of DFT.

It has space group Cmcm (No. 63), with a = 3.552 Å, b = 22.562 Å, c = 12.109 Å, α = 90.00°, β = 90.00° and γ = 90.00°. The inequivalent atoms are Sm at (0.000, 0.000, 0.000), Sm at (0.000, 0.247, 0.120), Sm at (0.000, 0.461, 0.750), Dy at (0.000, 0.114, 0.750) and Y at (0.000, 0.374, 0.510).

The calculation puts the energy of formation from the pure elements at 1.5 eV per formula unit. The energy relative to the lowest polymorph listed for this composition comes out at 0.63 eV/f.u. Its magnetization is 0.00 μB/atom.



Entry 8:
Computed, not measured: a geometry-optimized SiHgGe2S structure at the PBE-GGA level of DFT.

It has space group P4/mmm (No. 123), with a = 4.897 Å, b = 4.897 Å, c = 4.935 Å, α = 90.00°, β = 90.00° and γ = 90.00°. The inequivalent atoms are Si at (0.000, 0.000, 0.000), Hg at (0.000, 0.000, 0.500), Ge at (0.000, 0.500, 0.000) and S at (0.500, 0.500, 0.500).

Its magnetization is 0.00 μB/atom. The formation energy from raw total energies comes out at 0.61 eV/atom.



Entry 9:
Computed, not measured: a geometry-optimized NdThNiIr structure at the PBE-GGA level of DFT.

It has space group Amm2 (No. 38), with a = 4.233 Å, b = 3.872 Å, c = 11.165 Å, α = 90.00°, β = 90.00° and γ = 90.00°. The inequivalent atoms are Nd at (0.000, 0.000, 0.000), Th at (0.500, 0.000, 0.729), Ni at (0.500, 0.000, 0.443) and Ir at (0.000, 0.000, 0.272).

The calculation puts the energy of formation from the pure elements at -2.6 eV per formula unit. The energy relative to the lowest polymorph listed for this composition comes out at 0.00 eV/f.u. Its magnetization is 0.00 μB/atom.



Entry 10:
Computed, not measured: a geometry-optimized Al2InAs structure at the PBE-GGA level of DFT.

It has space group I-42d (No. 122), with a = 6.350 Å, b = 6.350 Å, c = 10.784 Å, α = 90.00°, β = 90.00° and γ = 90.00°. The inequivalent atoms are Al at (0.214, 0.250, 0.125), In at (0.000, 0.000, 0.500) and As at (0.000, 0.000, 0.000).

The calculation puts the energy of formation from the pure elements at 0.4 eV per formula unit. The energy relative to the lowest polymorph listed for this composition comes out at 0.49 eV/f.u. Its magnetization is 0.00 μB/atom.



Entry 11:
Computed, not measured: a geometry-optimized Os3SeS structure at the PBE-GGA level of DFT.

It has space group Pm-3m (No. 221), with a = 4.560 Å, b = 4.560 Å, c = 4.560 Å, α = 90.00°, β = 90.00° and γ = 90.00°. The inequivalent atoms are Os at (0.000, 0.000, 0.500), Se at (0.000, 0.000, 0.000) and S at (0.500, 0.500, 0.500).

The energy relative to the lowest polymorph listed for this composition comes out at 3.86 eV/f.u. Its magnetization is 0.00 μB/atom. The formation energy from raw total energies comes out at 2.24 eV/atom.



Entry 12:
Computed, not measured: a geometry-optimized HgSbF2 structure at the PBE-GGA level of DFT.

It has space group R-3m (No. 166, hexagonal axes), with a = 3.2210 Å, b = 3.2210 Å, c = 26.3373 Å, α = 90.00°, β = 90.00° and γ = 120.00°. The inequivalent atoms are Hg at (0.0000, 0.0000, 0.0000), Sb at (0.0000, 0.0000, 0.5000) and F at (0.0000, 0.0000, 0.4213).

The energy relative to the lowest polymorph listed for this composition comes out at 0.00 eV/f.u. Its magnetization is 0.00 μB/atom. The formation energy from raw total energies comes out at -1.25 eV/atom.